The following is a PBE calculation of a relaxed structure of ThHSe, from Alexandria via LeMat-Bulk.

Cell lengths 8.0525, 3.9941, 6.9160 Å; angles 90.00, 90.00, 90.00 degrees
Sites, in units of the cell vectors:
Th 0.2503 0.2500 0.0832
Th 0.2497 0.7500 0.5832
Th 0.7503 0.2500 0.4168
Th 0.7497 0.7500 0.9168
H 0.2498 0.2500 0.4165
H 0.2502 0.7500 0.9165
H 0.7498 0.2500 0.0835
H 0.7502 0.7500 0.5835
Se 0.9999 0.2500 0.7504
Se 0.0001 0.7500 0.2496
Se 0.4999 0.2500 0.7496
Se 0.5001 0.7500 0.2504

Its space group is Pnma (62). The calculation puts the total energy at -5.940 eV/atom.